No. 1
{
  "formula": "Mg2AsH2",
  "functional": "PBE",
  "state": "optimized geometry",
  "de_polymorph_mev_per_atom": 72,
  "final_energy_ev_per_atom": -2.976,
  "lattice": [[6.125, 0.000, 0.000], [0.000, 6.125, 0.000], [0.000, 0.000, 3.755]],
  "species": ["As", "As", "H", "H", "H", "H", "Mg", "Mg", "Mg", "Mg"],
  "frac_coords": [[0.500, 0.500, 0.000], [0.000, 0.000, 0.000], [0.955, 0.545, 0.000], [0.455, 0.955, 0.000], [0.545, 0.045, 0.000], [0.045, 0.455, 0.000], [0.292, 0.208, 0.500], [0.208, 0.708, 0.500], [0.708, 0.792, 0.500], [0.792, 0.292, 0.500]]
}

***

No. 2
{
  "formula": "Te3PdCl",
  "functional": "PBE",
  "state": "optimized geometry",
  "de_polymorph_mev_per_atom": 0,
  "final_energy_ev_per_atom": -2.979,
  "raw_formation_energy_ev_per_atom": 0.3138,
  "lattice": [[5.303, 0.000, 0.000], [0.000, 5.303, 0.000], [0.000, 0.000, 5.303]],
  "species": ["Te", "Te", "Te", "Cl", "Pd"],
  "frac_coords": [[0.500, 0.000, 0.000], [0.000, 0.500, 0.000], [0.000, 0.000, 0.500], [0.500, 0.500, 0.500], [0.000, 0.000, 0.000]]
}

***

No. 3
{
  "formula": "CsCr2PbI8",
  "functional": "PBE",
  "state": "optimized geometry",
  "final_energy_ev_per_atom": -3.528,
  "raw_formation_energy_ev_per_atom": -0.5101,
  "lattice": [[7.678, 0.000, 0.000], [3.839, 6.649, 0.000], [3.839, 2.216, 10.724]],
  "species": ["I", "I", "I", "I", "I", "I", "I", "I", "Cs", "Cr", "Cr", "Pb"],
  "frac_coords": [[0.602, 0.288, 0.179], [0.826, 0.826, 0.523], [0.070, 0.398, 0.821], [0.398, 0.712, 0.821], [0.712, 0.070, 0.821], [0.174, 0.174, 0.477], [0.930, 0.602, 0.179], [0.288, 0.930, 0.179], [0.500, 0.500, 0.500], [0.255, 0.255, 0.236], [0.745, 0.745, 0.764], [0.000, 0.000, 0.000]]
}

***

No. 4
{
  "formula": "Co5Pb",
  "functional": "PBE",
  "state": "optimized geometry",
  "formation_energy_ev_per_atom": 0.286,
  "final_energy_ev_per_atom": -6.254,
  "lattice": [[1.137, 5.569, 1.505], [-4.308, -3.988, -0.328], [0.745, -1.089, 3.469]],
  "species": ["Co", "Co", "Co", "Co", "Co", "Pb"],
  "frac_coords": [[0.182, 0.818, 0.000], [0.318, 0.682, 0.500], [0.682, 0.318, 0.500], [0.818, 0.182, 0.000], [0.000, 0.000, 0.500], [0.500, 0.500, 0.000]]
}